No. 1
! SrCa2In6 | Alexandria via LeMat-Bulk | GGA-PBE | optimized geometry; values from VASP
! Uncorrected energy: -2.799 eV/atom
&SYSTEM
  ibrav = 0, nat = 9, ntyp = 3
/
ATOMIC_SPECIES
Sr 87.62 Sr.upf
Ca 40.08 Ca.upf
In 114.82 In.upf
CELL_PARAMETERS angstrom
-2.199 4.162 7.428
2.199 -4.162 7.428
2.199 4.162 -7.428
ATOMIC_POSITIONS crystal
Sr 0.000 0.000 0.000
Ca 0.372 0.872 0.500
Ca 0.628 0.128 0.500
In 0.000 0.315 0.685
In 0.000 0.685 0.315
In 0.319 0.500 0.819
In 0.370 0.685 0.685
In 0.630 0.315 0.315
In 0.681 0.500 0.181


No. 2
! Sr2CaIn3 | Alexandria via LeMat-Bulk | GGA-PBE | optimized geometry; values from VASP
! Uncorrected energy: -2.704 eV/atom
&SYSTEM
  ibrav = 0, nat = 6, ntyp = 3
/
ATOMIC_SPECIES
Sr 87.62 Sr.upf
Ca 40.08 Ca.upf
In 114.82 In.upf
CELL_PARAMETERS angstrom
4.025 0.000 0.000
0.000 4.025 0.000
0.000 0.000 11.879
ATOMIC_POSITIONS crystal
Sr 0.000 0.000 0.174
Sr 0.000 0.000 0.826
Ca 0.000 0.000 0.500
In 0.500 0.500 0.000
In 0.500 0.500 0.351
In 0.500 0.500 0.649


No. 3
! Sr4CaIn2 | Alexandria via LeMat-Bulk | GGA-PBE | optimized geometry; values from VASP
! Uncorrected energy: -2.294 eV/atom
&SYSTEM
  ibrav = 0, nat = 7, ntyp = 3
/
ATOMIC_SPECIES
Sr 87.62 Sr.upf
Ca 40.08 Ca.upf
In 114.82 In.upf
CELL_PARAMETERS angstrom
2.929 1.691 9.400
-2.929 1.691 9.400
0.000 -3.382 9.400
ATOMIC_POSITIONS crystal
Sr 0.113 0.113 0.113
Sr 0.367 0.367 0.367
Sr 0.633 0.633 0.633
Sr 0.887 0.887 0.887
Ca 0.500 0.500 0.500
In 0.241 0.241 0.241
In 0.759 0.759 0.759


No. 4
! Sr2CaIn | Alexandria via LeMat-Bulk | GGA-PBE | optimized geometry; values from VASP
! Uncorrected energy: -2.244 eV/atom
&SYSTEM
  ibrav = 0, nat = 4, ntyp = 3
/
ATOMIC_SPECIES
Sr 87.62 Sr.upf
Ca 40.08 Ca.upf
In 114.82 In.upf
CELL_PARAMETERS angstrom
4.050 0.000 0.000
0.000 4.050 0.000
0.000 0.000 10.063
ATOMIC_POSITIONS crystal
Sr 0.000 0.000 0.000
Sr 0.500 0.500 0.327
Ca 0.000 0.000 0.621
In 0.500 0.500 0.792


No. 5
! Sr3CaIn | Alexandria via LeMat-Bulk | GGA-PBE | optimized geometry; values from VASP
! Distance to the lowest polymorph of the same formula: 0.1765 eV/atom
! Uncorrected energy: -1.939 eV/atom
&SYSTEM
  ibrav = 0, nat = 5, ntyp = 3
/
ATOMIC_SPECIES
Sr 87.62 Sr.upf
Ca 40.08 Ca.upf
In 114.82 In.upf
CELL_PARAMETERS angstrom
6.447 0.000 0.000
0.000 6.447 0.000
0.000 0.000 6.447
ATOMIC_POSITIONS crystal
Sr 0.000 0.000 0.500
Sr 0.000 0.500 0.000
Sr 0.500 0.000 0.000
Ca 0.500 0.500 0.500
In 0.000 0.000 0.000


No. 6
! Sr2CaIn2 | Alexandria via LeMat-Bulk | GGA-PBE | optimized geometry; values from VASP
! Distance to the lowest polymorph of the same formula: 0.1201 eV/atom
! Uncorrected energy: -2.407 eV/atom
&SYSTEM
  ibrav = 0, nat = 10, ntyp = 3
/
ATOMIC_SPECIES
Sr 87.62 Sr.upf
Ca 40.08 Ca.upf
In 114.82 In.upf
CELL_PARAMETERS angstrom
9.688 0.000 0.000
0.000 9.688 0.000
0.000 0.000 3.798
ATOMIC_POSITIONS crystal
Sr 0.134 0.366 0.000
Sr 0.366 0.866 0.000
Sr 0.634 0.134 0.000
Sr 0.866 0.634 0.000
Ca 0.000 0.000 0.000
Ca 0.500 0.500 0.000
In 0.165 0.665 0.500
In 0.335 0.165 0.500
In 0.665 0.835 0.500
In 0.835 0.335 0.500


DFT formation energy (computed, eV per atom): -0.342; -0.441; -0.264; -0.219; 0.018; -0.239